(1)
A plane-wave DFT calculation with PBE-GGA was carried out for crystalline In5Ag2Pd12 at its relaxed geometry.

POSCAR file:
```
In5Ag2Pd12
1.0
7.665 -2.773 0.000
7.665 2.773 0.000
-2.537 0.000 8.596
In Ag Pd
5 2 12
Direct
0.000 0.000 0.000
0.313 0.313 0.140
0.361 0.361 0.640
0.639 0.639 0.360
0.687 0.687 0.860
0.248 0.752 0.500
0.752 0.248 0.500
0.042 0.561 0.386
0.096 0.593 0.896
0.109 0.109 0.804
0.407 0.904 0.104
0.439 0.958 0.614
0.486 0.486 0.141
0.514 0.514 0.859
0.561 0.042 0.386
0.593 0.096 0.896
0.891 0.891 0.196
0.904 0.407 0.104
0.958 0.439 0.614
```

## Properties
formation energy	-0.1889	eV per atom
magnetic moment	0.0	μB/f.u.
E	-4.49	eV/atom
space group	C2/m (12)



(2)
A plane-wave DFT calculation with PBE-GGA was carried out for crystalline In3Ag2Pd8 at its relaxed geometry.

POSCAR file:
```
In3Ag2Pd8
1.0
2.642 1.525 9.995
-2.642 1.525 9.995
0.000 -3.051 9.995
In Ag Pd
3 2 8
Direct
0.000 0.000 0.000
0.185 0.185 0.185
0.815 0.815 0.815
0.362 0.362 0.362
0.638 0.638 0.638
0.226 0.727 0.727
0.273 0.273 0.273
0.273 0.273 0.774
0.273 0.774 0.273
0.727 0.226 0.727
0.727 0.727 0.226
0.727 0.727 0.727
0.774 0.273 0.273
```

## Properties
formation energy	-0.0734	eV per atom
magnetic moment	0.0	μB/f.u.
E	-4.34	eV/atom
space group	R-3m (166)



(3)
A plane-wave DFT calculation with PBE-GGA was carried out for crystalline InAg6Pd3 at its relaxed geometry.

POSCAR file:
```
InAg6Pd3
1.0
4.450 -7.892 0.000
4.450 7.892 0.000
0.000 0.000 5.181
In Ag Pd
2 12 6
Direct
0.217 0.783 0.500
0.783 0.217 0.000
0.037 0.438 0.665
0.054 0.946 0.231
0.296 0.375 0.852
0.308 0.692 0.981
0.375 0.296 0.352
0.438 0.037 0.165
0.562 0.963 0.665
0.625 0.704 0.852
0.692 0.308 0.481
0.704 0.625 0.352
0.946 0.054 0.731
0.963 0.562 0.165
0.060 0.268 0.252
0.268 0.060 0.752
0.389 0.611 0.440
0.611 0.389 0.940
0.732 0.940 0.252
0.940 0.732 0.752
```

## Properties
formation energy	0.0134	eV per atom
magnetic moment	0.0	μB/f.u.
E	-3.53	eV/atom
space group	Cmc2_1 (36)



(4)
A plane-wave DFT calculation with PBE-GGA was carried out for crystalline In2AgPd at its relaxed geometry.

POSCAR file:
```
In2AgPd
1.0
4.509 0.000 0.000
-2.255 3.905 0.000
0.000 0.000 14.806
In Ag Pd
6 3 3
Direct
0.000 0.000 0.000
0.000 0.000 0.203
0.333 0.667 0.667
0.333 0.667 0.870
0.667 0.333 0.333
0.667 0.333 0.537
0.000 0.000 0.422
0.333 0.667 0.088
0.667 0.333 0.755
0.000 0.000 0.612
0.333 0.667 0.279
0.667 0.333 0.945
```

## Properties
formation energy	-0.1735	eV per atom
magnetic moment	0.0	μB/f.u.
E	-3.55	eV/atom
space group	R3m (160)
excess energy over the best structure of this formula in the dataset	4.35	kJ/mol of atoms



(5)
A plane-wave DFT calculation with PBE-GGA was carried out for crystalline In2AgPd at its relaxed geometry.

POSCAR file:
```
In2AgPd
1.0
7.713 0.000 0.000
0.000 7.713 0.000
0.000 0.000 5.869
In Ag Pd
8 4 4
Direct
0.230 0.250 0.125
0.250 0.730 0.375
0.250 0.770 0.875
0.270 0.250 0.625
0.730 0.750 0.625
0.750 0.230 0.875
0.750 0.270 0.375
0.770 0.750 0.125
0.000 0.000 0.500
0.000 0.500 0.750
0.500 0.000 0.250
0.500 0.500 0.000
0.000 0.000 0.000
0.000 0.500 0.250
0.500 0.000 0.750
0.500 0.500 0.500
```

## Properties
formation energy	-0.0043	eV per atom
magnetic moment	0.0	μB/f.u.
E	-3.38	eV/atom
space group	I-42d (122)
excess energy over the best structure of this formula in the dataset	20.68	kJ/mol of atoms



(6)
A plane-wave DFT calculation with PBE-GGA was carried out for crystalline In2AgPd at its relaxed geometry.

POSCAR file:
```
In2AgPd
1.0
3.280 0.000 0.000
0.000 3.280 0.000
0.000 0.000 7.245
In Ag Pd
2 1 1
Direct
0.000 0.000 0.232
0.000 0.000 0.768
0.500 0.500 0.500
0.500 0.500 0.000
```

## Properties
formation energy	-0.2186	eV per atom
magnetic moment	0.0	μB/f.u.
E	-3.60	eV/atom
space group	P4/mmm (123)
excess energy over the best structure of this formula in the dataset	0.00	kJ/mol of atoms



(7)
A plane-wave DFT calculation with PBE-GGA was carried out for crystalline InAg7Pd4 at its relaxed geometry.

POSCAR file:
```
InAg7Pd4
1.0
5.199 -2.534 0.000
5.199 2.534 0.000
-5.125 0.000 8.657
In Ag Pd
1 7 4
Direct
0.000 0.000 0.000
0.109 0.109 0.451
0.291 0.291 0.086
0.343 0.343 0.382
0.500 0.500 0.000
0.657 0.657 0.618
0.709 0.709 0.914
0.891 0.891 0.549
0.190 0.190 0.771
0.409 0.409 0.688
0.591 0.591 0.312
0.810 0.810 0.229
```

## Properties
formation energy	0.1628	eV per atom
magnetic moment	0.0	μB/f.u.
E	-3.46	eV/atom
space group	C2/m (12)



(8)
A plane-wave DFT calculation with PBE-GGA was carried out for crystalline In2Ag2Pd at its relaxed geometry.

POSCAR file:
```
In2Ag2Pd
1.0
3.724 0.000 0.000
0.000 3.724 0.000
0.000 0.000 15.057
In Ag Pd
4 4 2
Direct
0.000 0.000 0.096
0.000 0.000 0.904
0.500 0.500 0.404
0.500 0.500 0.596
0.000 0.500 0.250
0.000 0.500 0.750
0.500 0.000 0.250
0.500 0.000 0.750
0.000 0.000 0.500
0.500 0.500 0.000
```

## Properties
formation energy	-0.0048	eV per atom
magnetic moment	0.0	μB/f.u.
E	-3.28	eV/atom
space group	I4/mmm (139)
excess energy over the best structure of this formula in the dataset	0.00	kJ/mol of atoms



(9)
A plane-wave DFT calculation with PBE-GGA was carried out for crystalline In2Ag2Pd at its relaxed geometry.

POSCAR file:
```
In2Ag2Pd
1.0
7.692 0.000 0.000
0.000 7.692 0.000
0.000 0.000 3.361
In Ag Pd
4 4 2
Direct
0.174 0.326 0.000
0.326 0.826 0.000
0.674 0.174 0.000
0.826 0.674 0.000
0.129 0.629 0.500
0.371 0.129 0.500
0.629 0.871 0.500
0.871 0.371 0.500
0.000 0.000 0.500
0.500 0.500 0.500
```

## Properties
formation energy	0.0309	eV per atom
magnetic moment	0.0	μB/f.u.
E	-3.24	eV/atom
space group	P4/mbm (127)
excess energy over the best structure of this formula in the dataset	3.45	kJ/mol of atoms



(10)
A plane-wave DFT calculation with PBE-GGA was carried out for crystalline InAg2Pd4 at its relaxed geometry.

POSCAR file:
```
InAg2Pd4
1.0
-3.971 3.971 3.991
3.971 -3.971 3.991
3.971 3.971 -3.991
In Ag Pd
2 4 8
Direct
0.000 0.000 0.000
0.750 0.250 0.500
0.253 0.125 0.628
0.375 0.747 0.872
0.497 0.625 0.372
0.875 0.503 0.128
0.120 0.373 0.913
0.123 0.370 0.413
0.290 0.877 0.248
0.460 0.208 0.087
0.627 0.540 0.748
0.630 0.042 0.752
0.792 0.880 0.252
0.958 0.710 0.587
```

## Properties
formation energy	-0.0549	eV per atom
magnetic moment	0.0	μB/f.u.
E	-4.23	eV/atom
space group	I-42d (122)
excess energy over the best structure of this formula in the dataset	0.00	kJ/mol of atoms



(11)
A plane-wave DFT calculation with PBE-GGA was carried out for crystalline InAg3Pd7 at its relaxed geometry.

POSCAR file:
```
InAg3Pd7
1.0
4.687 -4.653 0.000
4.687 4.653 0.000
-2.177 0.000 4.624
In Ag Pd
1 3 7
Direct
0.000 0.000 0.000
0.294 0.706 0.500
0.500 0.500 0.000
0.706 0.294 0.500
0.000 0.000 0.500
0.081 0.574 0.829
0.279 0.279 0.459
0.426 0.919 0.171
0.574 0.081 0.829
0.721 0.721 0.541
0.919 0.426 0.171
```

## Properties
formation energy	0.0901	eV per atom
magnetic moment	0.0	μB/f.u.
E	-4.24	eV/atom
space group	C2/m (12)